1.
This record from Alexandria via LeMat-Bulk describes an optimized crystal structure of InBi3Br. The functional is PBE.

Output
- space-group type = Pm-3m (221)
- crystal system = cubic
- total DFT energy (no corrections) (eV/cell) = -13.31
- polymorph energy (0 for the lowest one) (eV/f.u.) = 3.27
- ΔE_f (raw) (eV/atom) = 0.550
- total magnetic moment (μB per formula unit) = 0.00

Cell lengths 5.8049, 5.8049, 5.8049 Å; angles 90.00, 90.00, 90.00 degrees
Sites, in units of the cell vectors:
1 Bi 0.0000 0.5000 0.0000
2 Bi 0.5000 0.0000 0.0000
3 Br 0.5000 0.5000 0.5000
4 Bi 0.0000 0.0000 0.5000
5 In 0.0000 0.0000 0.0000

***

2.
This record from Alexandria via LeMat-Bulk describes an optimized crystal structure of In4BiBr6. The functional is PBE.

Output
- space-group type = P4/mnc (128)
- crystal system = tetragonal
- total DFT energy (no corrections) (eV/cell) = -61.55
- ΔE_f (raw) (eV/atom) = -0.537
- total magnetic moment (μB per formula unit) = 0.77

Cell lengths 8.9089, 8.9089, 9.4501 Å; angles 90.00, 90.00, 90.00 degrees
Sites, in units of the cell vectors:
1 Br 0.6833 0.1464 0.5000
2 Br 0.0000 0.0000 0.8021
3 Bi 0.0000 0.0000 0.5000
4 Br 0.1833 0.3536 0.0000
5 Br 0.5000 0.5000 0.3021
6 Br 0.3536 0.8167 0.0000
7 Br 0.8536 0.6833 0.5000
8 In 0.8494 0.3494 0.2500
9 Br 0.0000 0.0000 0.1979
10 In 0.3494 0.1506 0.7500
11 Br 0.3167 0.8536 0.5000
12 Br 0.1464 0.3167 0.5000
13 In 0.6506 0.8494 0.2500
14 In 0.6506 0.8494 0.7500
15 Br 0.5000 0.5000 0.6979
16 Br 0.6464 0.1833 0.0000
17 In 0.1506 0.6506 0.2500
18 Bi 0.5000 0.5000 0.0000
19 In 0.3494 0.1506 0.2500
20 In 0.1506 0.6506 0.7500
21 Br 0.8167 0.6464 0.0000
22 In 0.8494 0.3494 0.7500

***

3.
This record from Alexandria via LeMat-Bulk describes an optimized crystal structure of In12Bi3Br5. The functional is PBE.

Output
- space-group type = Ia-3d (230)
- crystal system = cubic
- total DFT energy (no corrections) (eV/cell) = -220.10
- ΔE_f (raw) (eV/atom) = -0.108
- total magnetic moment (μB per formula unit) = 0.00

Cell lengths 16.1980, 16.1980, 16.1980 Å; angles 109.47, 109.47, 109.47 degrees
Sites, in units of the cell vectors:
1 Bi 0.7500 0.3750 0.1250
2 Bi 0.3750 0.7500 0.6250
3 In 0.4154 0.3520 0.5781
4 Bi 0.6250 0.2500 0.3750
5 Bi 0.6250 0.3750 0.7500
6 Bi 0.7500 0.8750 0.6250
7 Bi 0.2500 0.6250 0.8750
8 In 0.7261 0.1480 0.0634
9 In 0.2261 0.5634 0.6480
10 In 0.4366 0.6626 0.0846
11 In 0.1626 0.0781 0.7261
12 In 0.9154 0.0781 0.8520
13 Br 0.1250 0.7500 0.3750
14 Br 0.5000 0.5000 0.0000
15 In 0.7739 0.4366 0.3520
16 In 0.6480 0.5846 0.9219
17 Br 0.2500 0.3750 0.6250
18 In 0.8374 0.9154 0.0634
19 In 0.2739 0.8520 0.9366
20 Br 0.5000 0.0000 0.0000
21 In 0.5634 0.3374 0.9154
22 Br 0.8750 0.6250 0.7500
23 In 0.3520 0.4154 0.0781
24 In 0.9366 0.5846 0.1626
25 In 0.0781 0.9154 0.3520
26 In 0.0846 0.1626 0.4366
27 Br 0.3750 0.1250 0.7500
28 In 0.7261 0.5781 0.1626
29 In 0.3374 0.7739 0.4219
30 In 0.8374 0.9219 0.2739
31 Br 0.0000 0.5000 0.5000
32 In 0.8520 0.2739 0.4366
33 In 0.1480 0.7261 0.5634
34 Br 0.8750 0.2500 0.6250
35 In 0.5781 0.7261 0.6626
36 In 0.4219 0.1480 0.5846
37 In 0.0634 0.6480 0.7261
38 In 0.6480 0.0634 0.2261
39 In 0.6626 0.2261 0.5781
40 In 0.4366 0.7739 0.8520
41 Br 0.6250 0.7500 0.8750
42 In 0.5846 0.6480 0.4219
43 In 0.9366 0.3520 0.2739
44 Br 0.0000 0.0000 0.5000
45 In 0.4154 0.0634 0.3374
46 Br 0.2500 0.8750 0.1250
47 In 0.3520 0.9366 0.7739
48 In 0.5846 0.9366 0.6626
49 Bi 0.2500 0.1250 0.3750
50 In 0.0781 0.1626 0.2261
51 In 0.6626 0.4366 0.5846
52 In 0.1480 0.4219 0.0846
53 Br 0.0000 0.5000 0.0000
54 In 0.9219 0.8374 0.7739
55 In 0.9154 0.8374 0.5634
56 Br 0.1250 0.3750 0.2500
57 In 0.0846 0.9219 0.1480
58 Br 0.3750 0.2500 0.1250
59 Bi 0.1250 0.2500 0.8750
60 Br 0.5000 0.0000 0.5000
61 In 0.5634 0.2261 0.1480
62 In 0.9219 0.0846 0.6480
63 Bi 0.3750 0.6250 0.2500
64 Br 0.5000 0.5000 0.5000
65 In 0.1626 0.0846 0.9366
66 In 0.4219 0.2739 0.3374
67 Br 0.7500 0.6250 0.3750
68 In 0.8520 0.5781 0.9154
69 Bi 0.8750 0.7500 0.1250
70 In 0.7739 0.3374 0.9219
71 Bi 0.1250 0.8750 0.7500
72 Bi 0.8750 0.1250 0.2500
73 In 0.0634 0.4154 0.8374
74 Br 0.7500 0.1250 0.8750
75 In 0.3374 0.5634 0.4154
76 Br 0.0000 0.0000 0.0000
77 Br 0.6250 0.8750 0.2500
78 In 0.2739 0.4219 0.8374
79 In 0.5781 0.8520 0.4154
80 In 0.2261 0.6626 0.0781

***

4.
This record from Alexandria via LeMat-Bulk describes an optimized crystal structure of InBi3Br. The functional is PBE.

Output
- space-group type = C2/c (15)
- crystal system = monoclinic
- total DFT energy (no corrections) (eV/cell) = -66.29
- polymorph energy (0 for the lowest one) (eV/f.u.) = 0.00
- ΔE_f (raw) (eV/atom) = -0.103
- total magnetic moment (μB per formula unit) = 0.00

Cell lengths 6.7408, 10.4811, 10.4811 Å; angles 99.88, 81.01, 81.01 degrees
Sites, in units of the cell vectors:
1 Br 0.0742 0.4498 0.8070
2 Bi 0.8952 0.2800 0.3192
3 In 0.2500 0.1890 0.8110
4 In 0.7500 0.8110 0.1890
5 Bi 0.6048 0.6808 0.7200
6 In 0.7500 0.3430 0.6570
7 Bi 0.3911 0.0226 0.1610
8 Bi 0.0053 0.9875 0.3459
9 Bi 0.1089 0.8390 0.9774
10 Bi 0.6089 0.9774 0.8390
11 Bi 0.8911 0.1610 0.0226
12 Bi 0.1048 0.7200 0.6808
13 Bi 0.4947 0.6541 0.0125
14 Bi 0.9947 0.0125 0.6541
15 Br 0.5742 0.8070 0.4498
16 Br 0.9258 0.5502 0.1930
17 Bi 0.5053 0.3459 0.9875
18 In 0.2500 0.6570 0.3430
19 Br 0.4258 0.1930 0.5502
20 Bi 0.3952 0.3192 0.2800